(1)
The following is a PBE-GGA calculation of a relaxed structure of AsAuCl2, from Alexandria via LeMat-Bulk.

Values from the calculation:
DFT total energy = -2.837 eV/atom
uncorrected formation energy = 0.272 eV/f.u.
ΔE to the lowest computed polymorph = 434 meV/atom
crystal system = monoclinic
SG = No. 10

Geometry as POSCAR:
```
AsAuCl2
1.0
3.044 0.000 0.000
0.000 3.337 0.000
-0.348 0.000 10.424
As Au Cl
1 1 2
direct
0.000 0.000 0.000
0.000 0.000 0.500
0.019 0.500 0.176
0.981 0.500 0.824
```

(2)
The following is a PBE-GGA calculation of a relaxed structure of As2AuCl, from Alexandria via LeMat-Bulk.

Values from the calculation:
DFT total energy = -3.327 eV/atom
uncorrected formation energy = 1.115 eV/f.u.
ΔE to the lowest computed polymorph = 401 meV/atom
crystal system = orthorhombic
SG = No. 71

Geometry as POSCAR:
```
As2AuCl
1.0
3.239 0.000 0.000
0.000 5.707 0.000
0.000 0.000 8.964
As Au Cl
4 2 2
direct
0.000 0.000 0.231
0.000 0.000 0.769
0.500 0.500 0.269
0.500 0.500 0.731
0.000 0.500 0.500
0.500 0.000 0.000
0.000 0.500 0.000
0.500 0.000 0.500
```

Question: Among the records above, which one has the lowest ΔE to the lowest computed polymorph?
Answer: As2AuCl

Question: Among the records above, which one has the lowest uncorrected formation energy?
Answer: AsAuCl2

Question: Which of these has the highest DFT total energy?
Answer: AsAuCl2

Question: Among the records above, which one has the highest uncorrected formation energy?
Answer: As2AuCl